Record 1
## Sn2HSe (PBE)

Data for a relaxed structure of Sn2HSe.

Lattice parameters (Å, degrees): 6.102 6.102 10.384 90.00 90.00 90.00
Space group I-42d (No. 122)
One atom of each set of equivalent atoms:
Sn 0.165 0.250 0.125 (multiplicity 8)
H 0.000 0.000 0.000 (multiplicity 4)
Se 0.000 0.000 0.500 (multiplicity 4)

Its magnetic moment is 0.00 μB per cell. The crystal system is tetragonal. Its total DFT energy (no corrections) is -56.65 eV for the cell shown.


Record 2
## BaIn3Bi3 (PBE)

Data for a relaxed structure of BaIn3Bi3.

Lattice parameters (Å, degrees): 8.8981 8.8981 22.9671 90.00 90.00 120.00
Space group R-3 (No. 148, hexagonal axes)
One atom of each set of equivalent atoms:
Ba 0.0000 0.0000 0.1674 (multiplicity 6)
In 0.0067 0.3715 0.3794 (multiplicity 18)
Bi 0.0046 0.2978 0.5809 (multiplicity 18)

Its magnetic moment is 0.00 μB per cell. As for the formation energy: -0.233 eV/atom. The crystal system is trigonal. Its total DFT energy (no corrections) is -140.46 eV for the cell shown.


Record 3
## CaCeTa2O8 (PBE)

Data for a relaxed structure of CaCeTa2O8.

Lattice parameters (Å, degrees): 5.291 5.291 11.133 90.00 90.00 90.00
Space group I-4 (No. 82)
One atom of each set of equivalent atoms:
Ca 0.000 0.000 0.000 (multiplicity 2)
Ce 0.000 0.500 0.750 (multiplicity 2)
Ta 0.000 0.000 0.500 (multiplicity 2)
Ta 0.000 0.500 0.250 (multiplicity 2)
O 0.173 0.244 0.593 (multiplicity 8)
O 0.183 0.745 0.161 (multiplicity 8)

Its magnetic moment is 0.00 μB per cell. The crystal system is tetragonal. Its total DFT energy (no corrections) is -216.23 eV for the cell shown. As for the formation energy from raw total energies: -3.067 eV/atom.


Record 4
## PrIn4Rh2 (PBE)

Data for a relaxed structure of PrIn4Rh2.

Lattice parameters (Å, degrees): 18.566 4.581 7.178 90.00 90.00 90.00
Space group Pnma (No. 62)
One atom of each set of equivalent atoms:
Pr 0.140 0.250 0.026 (multiplicity 4)
In 0.034 0.750 0.849 (multiplicity 4)
In 0.070 0.250 0.499 (multiplicity 4)
In 0.186 0.750 0.323 (multiplicity 4)
In 0.193 0.750 0.735 (multiplicity 4)
Rh 0.040 0.750 0.245 (multiplicity 4)
Rh 0.216 0.250 0.532 (multiplicity 4)

Its magnetic moment is 0.00 μB per cell. As for the formation energy: -0.487 eV/atom. The crystal system is orthorhombic. Its total DFT energy (no corrections) is -135.37 eV for the cell shown.


Record 5
## La3NiN (PBE)

Data for a relaxed structure of La3NiN.

Lattice parameters (Å, degrees): 5.009 5.009 5.009 90.00 90.00 90.00
Space group Pm-3m (No. 221)
One atom of each set of equivalent atoms:
La 0.000 0.000 0.500 (multiplicity 3)
Ni 0.500 0.500 0.500 (multiplicity 1)
N 0.000 0.000 0.000 (multiplicity 1)

Its magnetic moment is 0.00 μB per cell. The crystal system is cubic. Its total DFT energy (no corrections) is -31.12 eV for the cell shown. As for the formation energy from raw total energies: -0.446 eV/atom.


Record 6
## LaPmNd3Ho (PBE)

Data for a relaxed structure of LaPmNd3Ho.

Lattice parameters (Å, degrees): 8.170 5.199 10.360 90.00 108.47 90.00
Space group P2_1/m (No. 11)
One atom of each set of equivalent atoms:
La 0.168 0.250 0.291 (multiplicity 2)
Pm 0.499 0.250 0.627 (multiplicity 2)
Nd 0.169 0.750 0.544 (multiplicity 2)
Nd 0.170 0.250 0.793 (multiplicity 2)
Nd 0.171 0.750 0.041 (multiplicity 2)
Ho 0.498 0.750 0.877 (multiplicity 2)

Its magnetic moment is 0.00 μB per cell. As for the formation energy: 0.019 eV/atom. The crystal system is monoclinic. Its total DFT energy (no corrections) is -56.89 eV for the cell shown.


Record 7
## SiGeRh3 (PBE)

Data for a relaxed structure of SiGeRh3.

Lattice parameters (Å, degrees): 4.110 7.236 5.286 90.00 90.00 90.00
Space group Pmc2_1 (No. 26)
One atom of each set of equivalent atoms:
Si 0.000 0.166 0.000 (multiplicity 2)
Ge 0.500 0.340 0.418 (multiplicity 2)
Rh 0.000 0.147 0.542 (multiplicity 2)
Rh 0.000 0.454 0.195 (multiplicity 2)
Rh 0.500 0.304 0.883 (multiplicity 2)

Its magnetic moment is 0.00 μB per cell. The crystal system is orthorhombic. Its total DFT energy (no corrections) is -68.79 eV for the cell shown. As for the formation energy from raw total energies: -0.460 eV/atom.


Record 8
## LaCeSbO2 (PBE)

Data for a relaxed structure of LaCeSbO2.

Lattice parameters (Å, degrees): 4.022 4.022 13.253 90.00 90.00 90.00
Space group I4mm (No. 107)
One atom of each set of equivalent atoms:
La 0.000 0.000 0.000 (multiplicity 2)
Ce 0.000 0.000 0.315 (multiplicity 2)
Sb 0.000 0.000 0.662 (multiplicity 2)
O 0.000 0.500 0.401 (multiplicity 4)

Its magnetic moment is 0.86 μB per cell. The crystal system is tetragonal. Its total DFT energy (no corrections) is -76.83 eV for the cell shown. As for the formation energy from raw total energies: -2.703 eV/atom.


Record 9
## Ac2PmEr (PBE)

Data for a relaxed structure of Ac2PmEr.

Lattice parameters (Å, degrees): 5.423 5.423 5.181 90.00 90.00 90.00
Space group P4/mmm (No. 123)
One atom of each set of equivalent atoms:
Ac 0.000 0.500 0.000 (multiplicity 2)
Pm 0.000 0.000 0.500 (multiplicity 1)
Er 0.500 0.500 0.500 (multiplicity 1)

Its magnetic moment is 0.00 μB per cell. As for the formation energy: 0.043 eV/atom. The crystal system is tetragonal. Its total DFT energy (no corrections) is -17.36 eV for the cell shown.


Record 10
## Nd6Sn2Ir (PBE)

Data for a relaxed structure of Nd6Sn2Ir.

Lattice parameters (Å, degrees): 6.403 8.621 12.211 90.00 121.28 90.00
Space group P2_1/c (No. 14)
One atom of each set of equivalent atoms:
Nd 0.075 0.171 0.448 (multiplicity 4)
Nd 0.317 0.684 0.449 (multiplicity 4)
Nd 0.350 0.029 0.243 (multiplicity 4)
Sn 0.174 0.115 0.756 (multiplicity 4)
Ir 0.500 0.000 0.500 (multiplicity 2)

Its magnetic moment is 0.00 μB per cell. As for the formation energy: -0.501 eV/atom. The crystal system is monoclinic. Its total DFT energy (no corrections) is -99.96 eV for the cell shown.


Record 11
## SiTcS2N (PBE)

Data for a relaxed structure of SiTcS2N.

Lattice parameters (Å, degrees): 4.734 4.734 3.280 90.00 90.00 90.00
Space group P4/mmm (No. 123)
One atom of each set of equivalent atoms:
Si 0.000 0.000 0.000 (multiplicity 1)
Tc 0.500 0.500 0.500 (multiplicity 1)
S 0.000 0.500 0.000 (multiplicity 2)
N 0.000 0.000 0.500 (multiplicity 1)

Its magnetic moment is 3.45 μB per cell. The crystal system is tetragonal. Its total DFT energy (no corrections) is -29.49 eV for the cell shown. As for the formation energy from raw total energies: 0.576 eV/atom.


Record 12
## Be2Cu2Au (PBE)

Data for a relaxed structure of Be2Cu2Au.

Lattice parameters (Å, degrees): 6.349 6.349 2.863 90.00 90.00 90.00
Space group P4/mbm (No. 127)
One atom of each set of equivalent atoms:
Be 0.130 0.370 0.000 (multiplicity 4)
Cu 0.153 0.653 0.500 (multiplicity 4)
Au 0.000 0.000 0.000 (multiplicity 2)

Its magnetic moment is 0.00 μB per cell. As for the formation energy: -0.079 eV/atom. The crystal system is tetragonal. Its total DFT energy (no corrections) is -38.64 eV for the cell shown.


Question: Which value of magnetic moment does entry 11 give?
Answer: 3.45 μB per cell


What did the second record say?
## BaIn3Bi3 (PBE)

Data for a relaxed structure of BaIn3Bi3.

Lattice parameters (Å, degrees): 8.8981 8.8981 22.9671 90.00 90.00 120.00
Space group R-3 (No. 148, hexagonal axes)
One atom of each set of equivalent atoms:
Ba 0.0000 0.0000 0.1674 (multiplicity 6)
In 0.0067 0.3715 0.3794 (multiplicity 18)
Bi 0.0046 0.2978 0.5809 (multiplicity 18)

Its magnetic moment is 0.00 μB per cell. As for the formation energy: -0.233 eV/atom. The crystal system is trigonal. Its total DFT energy (no corrections) is -140.46 eV for the cell shown.